Entry 1:
DFT (GGA-PBE) results for crystalline YC2O6 at its relaxed geometry.

Values from the calculation:
E_form (uncorrected) = -1.853 eV/atom
space-group type = I-42d, No. 122
crystal system = tetragonal
magnetization = 0.112 μB/atom
final energy = -71.334 eV/f.u.

Unit cell a=6.562 b=6.562 c=6.562 alpha=106.12 beta=106.12 gamma=116.39
Element x y z (fractional)
1 Y 0.000 0.000 0.000
2 Y 0.750 0.250 0.500
3 C 0.192 0.625 0.067
4 C 0.375 0.442 0.567
5 C 0.558 0.125 0.933
6 C 0.875 0.808 0.433
7 O 0.027 0.625 0.902
8 O 0.163 0.414 0.544
9 O 0.164 0.413 0.044
10 O 0.369 0.120 0.956
11 O 0.375 0.277 0.402
12 O 0.381 0.837 0.251
13 O 0.586 0.130 0.749
14 O 0.587 0.631 0.751
15 O 0.723 0.125 0.098
16 O 0.870 0.619 0.456
17 O 0.875 0.973 0.598
18 O 0.880 0.836 0.249

=====

Entry 2:
DFT (GGA-PBE) results for crystalline Nd7Er4In at its relaxed geometry.

Values from the calculation:
space-group type = P-1, No. 2
crystal system = triclinic
magnetization = 0.000 μB/atom
final energy = -54.502 eV/f.u.
ΔE_f = -0.011 eV/atom

Unit cell a=6.546 b=6.783 c=9.191 alpha=87.09 beta=76.46 gamma=82.88
Element x y z (fractional)
1 Nd 0.000 0.000 0.000
2 Nd 0.153 0.596 0.320
3 Nd 0.203 0.091 0.391
4 Nd 0.471 0.256 0.050
5 Nd 0.529 0.744 0.950
6 Nd 0.797 0.909 0.609
7 Nd 0.847 0.404 0.680
8 Er 0.311 0.696 0.644
9 Er 0.357 0.197 0.720
10 Er 0.643 0.803 0.280
11 Er 0.689 0.304 0.356
12 In 0.000 0.500 0.000

=====

Entry 3:
DFT (GGA-PBE) results for crystalline AcGa2Au3 at its relaxed geometry.

Values from the calculation:
energy above the lowest structure with this stoichiometry = 0 meV/atom
space-group type = Cmcm, No. 63
crystal system = orthorhombic
magnetization = 0.000 μB/atom
final energy = -23.459 eV/f.u.
ΔE_f = -0.577 eV/atom

Unit cell a=6.741 b=6.741 c=5.890 alpha=90.00 beta=90.00 gamma=83.10
Element x y z (fractional)
1 Ac 0.192 0.808 0.750
2 Ac 0.808 0.192 0.250
3 Ga 0.290 0.290 0.000
4 Ga 0.290 0.290 0.500
5 Ga 0.710 0.710 0.000
6 Ga 0.710 0.710 0.500
7 Au 0.025 0.655 0.250
8 Au 0.345 0.975 0.250
9 Au 0.437 0.563 0.250
10 Au 0.563 0.437 0.750
11 Au 0.655 0.025 0.750
12 Au 0.975 0.345 0.750